Entry 1:
Density functional theory data (PBE-GGA) for an optimized crystal structure of Li7Te.

Properties
Formation energy from raw total energies = -0.243 eV/atom
Density of states at the Fermi level = 2.77 states/eV/cell
Crystal system = cubic

abc: 6.0745 6.0745 6.0745
angles: 60.00 60.00 60.00
Element x y z (fractional)
Li 0.5000 0.0000 0.5000
Li 0.5000 0.5000 0.5000
Li 0.5000 0.0000 0.0000
Li 0.0000 0.5000 0.5000
Li 0.5000 0.5000 0.0000
Li 0.0000 0.5000 0.0000
Li 0.0000 0.0000 0.5000
Te 0.0000 0.0000 0.0000

***

Entry 2:
Density functional theory data (PBE-GGA) for an optimized crystal structure of LiTe3.

Properties
Formation energy from raw total energies = 0.018 eV/atom
Density of states at the Fermi level = 7.02 states/eV/cell
Crystal system = cubic
Excess energy over the best structure of this formula in the dataset = 421 meV per atom

abc: 6.0537 6.0537 6.0537
angles: 90.00 90.00 90.00
Element x y z (fractional)
Te 0.7500 0.5000 0.0000
Te 0.0000 0.7500 0.5000
Te 0.2500 0.5000 0.0000
Te 0.5000 0.0000 0.2500
Te 0.0000 0.2500 0.5000
Te 0.5000 0.0000 0.7500
Li 0.0000 0.0000 0.0000
Li 0.5000 0.5000 0.5000

***

Entry 3:
Density functional theory data (PBE-GGA) for an optimized crystal structure of LiTe5.

Properties
Formation energy from raw total energies = -0.104 eV/atom
Density of states at the Fermi level = 3.07 states/eV/cell
Crystal system = orthorhombic
Excess energy over the best structure of this formula in the dataset = 0 meV per atom

abc: 4.3497 4.1751 10.4814
angles: 101.49 90.00 90.00
Element x y z (fractional)
Te 0.5000 0.7978 0.5957
Te 0.0000 0.6051 0.2103
Te 0.0000 0.3949 0.7897
Te 0.5000 0.5000 0.0000
Te 0.5000 0.2022 0.4043
Li 0.0000 0.0000 0.0000

***

Entry 4:
Density functional theory data (PBE-GGA) for an optimized crystal structure of LiTe3.

Properties
Formation energy from raw total energies = -0.190 eV/atom
Density of states at the Fermi level = 2.94 states/eV/cell
Crystal system = trigonal
Excess energy over the best structure of this formula in the dataset = 213 meV per atom

abc: 7.1306 7.1306 7.1306
angles: 36.23 36.23 36.23
Element x y z (fractional)
Te 0.2600 0.2600 0.2600
Te 0.7400 0.7400 0.7400
Te 0.5000 0.5000 0.5000
Li 0.0000 0.0000 0.0000

***

Entry 5:
Density functional theory data (PBE-GGA) for an optimized crystal structure of LiTe3.

Properties
Formation energy from raw total energies = -0.089 eV/atom
Density of states at the Fermi level = 6.30 states/eV/cell
Crystal system = hexagonal
Excess energy over the best structure of this formula in the dataset = 314 meV per atom

abc: 6.3864 6.3864 6.4942
angles: 90.00 90.00 120.00
Element x y z (fractional)
Te 0.8297 0.1703 0.7500
Te 0.8297 0.6594 0.7500
Te 0.6594 0.8297 0.2500
Te 0.1703 0.8297 0.2500
Te 0.3406 0.1703 0.7500
Te 0.1703 0.3406 0.2500
Li 0.6667 0.3333 0.2500
Li 0.3333 0.6667 0.7500

***

Entry 6:
Density functional theory data (PBE-GGA) for an optimized crystal structure of LiThTe.

Properties
Formation energy from raw total energies = -0.476 eV/atom
Density of states at the Fermi level = 6.59 states/eV/cell
Crystal system = orthorhombic

abc: 7.5643 8.1505 6.6524
angles: 127.78 90.00 90.00
Element x y z (fractional)
Te 0.2500 0.9999 0.0000
Te 0.7500 0.5001 0.0000
Te 0.7500 0.0001 0.0000
Te 0.2500 0.4999 0.0000
Li 0.4999 0.2500 0.0000
Li 0.0001 0.7500 0.0000
Li 0.5001 0.7500 0.0000
Li 0.9999 0.2500 0.0000
Th 0.0000 0.7500 0.5000
Th 0.0000 0.2500 0.5000
Th 0.5000 0.7500 0.5000
Th 0.5000 0.2500 0.5000

***

Entry 7:
Density functional theory data (PBE-GGA) for an optimized crystal structure of Li3ThTe3.

Properties
Formation energy from raw total energies = -1.003 eV/atom
Density of states at the Fermi level = 7.41 states/eV/cell
Crystal system = trigonal

abc: 7.8360 7.8360 8.7579
angles: 63.43 63.43 60.00
Element x y z (fractional)
Li 0.2030 0.8739 0.3686
Li 0.5546 0.2030 0.3686
Li 0.8739 0.5546 0.3686
Li 0.4454 0.7970 0.6314
Li 0.1261 0.4454 0.6314
Li 0.7970 0.1261 0.6314
Th 0.3338 0.3338 0.9986
Th 0.6662 0.6662 0.0014
Te 0.5748 0.9188 0.2500
Te 0.4252 0.0812 0.7500
Te 0.0812 0.7436 0.7500
Te 0.9188 0.2564 0.2500
Te 0.2564 0.5748 0.2500
Te 0.7436 0.4252 0.7500

***

Entry 8:
Density functional theory data (PBE-GGA) for an optimized crystal structure of Li5ThTe6.

Properties
Formation energy from raw total energies = -0.793 eV/atom
Density of states at the Fermi level = 8.45 states/eV/cell
Crystal system = monoclinic

abc: 7.9903 6.6729 7.0449
angles: 61.73 81.53 71.88
Element x y z (fractional)
Th 0.0000 0.0000 0.0000
Li 0.5000 0.1567 0.6867
Li 0.5000 0.5000 0.0000
Li 0.0000 0.6711 0.6578
Li 0.0000 0.3289 0.3422
Li 0.5000 0.8433 0.3133
Te 0.7475 0.7281 0.0000
Te 0.7424 0.4383 0.6483
Te 0.2525 0.2719 0.0000
Te 0.2576 0.9134 0.6483
Te 0.2576 0.5617 0.3517
Te 0.7424 0.0866 0.3517

***

Entry 9:
Density functional theory data (PBE-GGA) for an optimized crystal structure of Li2ThTe4.

Properties
Formation energy from raw total energies = -0.853 eV/atom
Density of states at the Fermi level = 2.82 states/eV/cell
Crystal system = orthorhombic

abc: 11.2973 8.3628 8.3628
angles: 45.13 47.51 47.51
Element x y z (fractional)
Te 0.6815 0.7956 0.2956
Te 0.7775 0.2250 0.2200
Te 0.2225 0.2800 0.2750
Te 0.7728 0.2044 0.7044
Te 0.2225 0.7750 0.7800
Te 0.7775 0.7200 0.7250
Te 0.2272 0.7956 0.2956
Te 0.3185 0.2044 0.7044
Li 0.0013 0.2487 0.7487
Li 0.5000 0.0000 0.0000
Li 0.9987 0.7513 0.2513
Li 0.5000 0.5000 0.5000
Th 0.5000 0.5000 0.0000
Th 0.0000 0.5000 0.0000

***

Entry 10:
Density functional theory data (PBE-GGA) for an optimized crystal structure of LiTh3Tl4Te8.

Properties
Formation energy from raw total energies = -0.847 eV/atom
Density of states at the Fermi level = 7.49 states/eV/cell
Crystal system = trigonal

abc: 8.9935 9.7386 8.9954
angles: 117.51 119.99 90.00
Element x y z (fractional)
Te 0.7384 0.7155 0.9769
Te 0.2588 0.2763 0.5176
Te 0.7613 0.2844 0.5226
Te 0.2387 0.7156 0.4774
Te 0.2386 0.7155 0.9769
Te 0.2616 0.2845 0.0231
Te 0.7412 0.7237 0.4824
Te 0.7614 0.2845 0.0231
Th 0.5000 0.5000 0.0000
Th 0.5000 0.5000 0.5000
Th 0.0000 0.5000 0.5000
Tl 0.0000 0.0000 0.0000
Tl 0.0000 0.0000 0.5000
Tl 0.5000 0.0000 0.0000
Tl 0.5000 0.0000 0.5000
Li 0.0000 0.5000 0.0000

***

Entry 11:
Density functional theory data (PBE-GGA) for an optimized crystal structure of LiThTlTe3.

Properties
Formation energy from raw total energies = -0.944 eV/atom
Density of states at the Fermi level = 0.00 states/eV/cell
Crystal system = monoclinic

abc: 4.5611 9.6634 10.0438
angles: 104.12 90.00 90.00
Element x y z (fractional)
Th 0.2500 0.6765 0.1632
Th 0.7500 0.3235 0.8368
Te 0.7500 0.4473 0.1652
Te 0.2500 0.7850 0.4758
Te 0.2500 0.5527 0.8348
Te 0.7500 0.2150 0.5242
Te 0.2500 0.1158 0.8764
Te 0.7500 0.8842 0.1236
Li 0.2500 0.0805 0.5906
Li 0.7500 0.9195 0.4094
Tl 0.7500 0.8111 0.7523
Tl 0.2500 0.1889 0.2477

***

Entry 12:
Density functional theory data (PBE-GGA) for an optimized crystal structure of Li2ThTl2Te4.

Properties
Formation energy from raw total energies = -0.862 eV/atom
Crystal system = monoclinic

abc: 4.5852 8.6008 8.3126
angles: 110.57 90.00 105.46
Element x y z (fractional)
Tl 0.8606 0.7211 0.4361
Tl 0.1394 0.2789 0.5639
Te 0.7971 0.5942 0.8050
Te 0.2029 0.4058 0.1950
Te 0.5152 0.0303 0.7537
Te 0.4848 0.9697 0.2463
Li 0.3160 0.6321 0.0068
Li 0.6840 0.3679 0.9932
Th 0.0000 0.0000 0.0000